1.
DFT (PBE) results for a geometry-optimized Ga2FeSiN structure.

```
5
Lattice="4.715 0.000 0.000 0.000 4.715 0.000 0.000 0.000 4.240" Properties=species:S:1:pos:R:3 pbc="T T T"
Ga 0.000 2.358 0.000
Ga 2.358 0.000 0.000
Fe 0.000 0.000 2.120
Si 0.000 0.000 0.000
N 2.358 2.358 2.120
```

ρ	4.2	g/cm3
final energy	-20.27	eV/cell
uncorrected formation energy	154	kJ/mol of atoms


2.
DFT (PBE) results for a geometry-optimized Sr2GaFeN structure.

```
5
Lattice="5.481 0.000 0.000 0.000 5.481 0.000 0.000 0.000 3.594" Properties=species:S:1:pos:R:3 pbc="T T T"
Sr 0.000 2.740 0.000
Sr 2.740 0.000 0.000
Ga 0.000 0.000 1.797
Fe 2.740 2.740 1.797
N 2.740 2.740 0.000
```

ρ	4.8	g/cm3
final energy	-24.84	eV/cell
uncorrected formation energy	-32	kJ/mol of atoms


3.
DFT (PBE) results for a geometry-optimized GaFeTc2N structure.

```
5
Lattice="4.072 0.000 0.000 0.000 4.072 0.000 0.000 0.000 3.744" Properties=species:S:1:pos:R:3 pbc="T T T"
Ga 0.000 0.000 0.000
Fe 2.036 2.036 0.000
Tc 0.000 2.036 1.872
Tc 2.036 0.000 1.872
N 2.036 2.036 1.872
```

ρ	9.0	g/cm3
final energy	-40.97	eV/cell
uncorrected formation energy	-8	kJ/mol of atoms


4.
DFT (PBE) results for a geometry-optimized GaFeTe2N structure.

```
5
Lattice="5.455 0.000 0.000 0.000 5.455 0.000 0.000 0.000 3.390" Properties=species:S:1:pos:R:3 pbc="T T T"
Ga 0.000 0.000 0.000
Fe 2.728 2.728 1.695
Te 0.000 2.728 1.695
Te 2.728 0.000 1.695
N 2.728 2.728 0.000
```

ρ	6.5	g/cm3
final energy	-25.23	eV/cell
uncorrected formation energy	17	kJ/mol of atoms


5.
DFT (PBE) results for a geometry-optimized VGaFe2N structure.

```
5
Lattice="3.819 0.000 0.000 0.000 3.819 0.000 0.000 0.000 3.924" Properties=species:S:1:pos:R:3 pbc="T T T"
V 0.000 0.000 0.000
Ga 1.909 1.909 0.000
Fe 0.000 1.909 1.962
Fe 1.909 0.000 1.962
N 0.000 0.000 1.962
```

ρ	7.1	g/cm3
excess energy over the best structure of this formula in the dataset	0.0	meV/atom
final energy	-39.12	eV/cell
uncorrected formation energy	-33	kJ/mol of atoms


6.
DFT (PBE) results for a geometry-optimized VGaFe2N structure.

```
5
Lattice="3.622 0.000 0.000 0.000 3.622 0.000 0.000 0.000 4.476" Properties=species:S:1:pos:R:3 pbc="T T T"
V 0.000 0.000 0.000
Ga 1.811 1.811 0.000
Fe 0.000 1.811 2.238
Fe 1.811 0.000 2.238
N 1.811 1.811 2.238
```

ρ	7.0	g/cm3
excess energy over the best structure of this formula in the dataset	515.4	meV/atom
final energy	-36.54	eV/cell
uncorrected formation energy	17	kJ/mol of atoms